Entry 1:
Compound: Li2ZrMn
Source: the Alexandria database
Functional: SCAN
Structure: single point on PBEsol structure

Calculated values
Formation energy in kJ/mol of formula units: 124.1
Size of the total moment in μB per formula unit: 2.38
Energy above the most stable polymorph in this dataset in meV/atom: 157

Cell: 3.4306 3.4306 5.3517 Å, 90.00 90.00 90.00°
Closest atoms and distances in Å follow each position.
Sites, in units of the cell vectors:
Li 0.0000 0.0000 0.2164  1 Li 2.32
Li 0.0000 0.0000 0.7836  1 Li 2.32
Zr 0.5000 0.5000 0.5000  2 Mn 2.68, 8 Li 2.86
Mn 0.5000 0.5000 0.0000  2 Zr 2.68, 8 Li 2.69



Entry 2:
Compound: Y2As2I
Source: the Alexandria database
Functional: SCAN
Structure: single point on PBEsol structure

Calculated values
Formation energy (no corrections) in eV/atom: -0.9271
Size of the total moment in μB per formula unit: 0.21

Cell: 7.9519 7.9519 7.9519 Å, 149.57 149.57 43.57°
Closest atoms and distances in Å follow each position.
Sites, in units of the cell vectors:
Y 0.1214 0.1214 0.0000  4 As 2.82
Y 0.8786 0.8786 0.0000  4 As 2.82
As 0.2500 0.7500 0.5000  4 Y 2.82, 4 As 2.95
As 0.7500 0.2500 0.5000  4 Y 2.82, 4 As 2.95
I 0.5000 0.5000 0.0000  8 Y 3.45



Entry 3:
Compound: Hf4Si7Ni4
Source: the Alexandria database
Functional: SCAN
Structure: single point on PBEsol structure

Calculated values
Formation energy (no corrections) in eV/atom: -0.7607
Size of the total moment in μB per formula unit: 0.00

Cell: 9.3788 9.3788 9.3788 Å, 94.15 94.15 148.78°
Closest atoms and distances in Å follow each position.
Sites, in units of the cell vectors:
Hf 0.0000 0.1943 0.1943  7 Si 2.68-2.84
Hf 0.0000 0.8057 0.8057  7 Si 2.68-2.84
Hf 0.1943 0.0000 0.1943  7 Si 2.68-2.84
Hf 0.3633 0.3633 0.7266  7 Si 2.69-2.84
Hf 0.3633 0.6367 0.0000  7 Si 2.69-2.84
Hf 0.6367 0.3633 0.0000  7 Si 2.69-2.84
Hf 0.6367 0.6367 0.2734  7 Si 2.69-2.84
Hf 0.8057 0.0000 0.8057  7 Si 2.68-2.84
Si 0.0000 0.4083 0.4083  1 Si 2.34, 4 Ni 2.37
Si 0.0000 0.5917 0.5917  1 Si 2.34, 4 Ni 2.37
Si 0.2033 0.5000 0.7033  4 Ni 2.38
Si 0.2090 0.2090 0.4180  4 Ni 2.36
Si 0.2090 0.7910 0.0000  4 Ni 2.36
Si 0.2503 0.2503 0.0000  2 Si 2.52-2.53, 8 Hf 2.77-2.78
Si 0.4083 0.0000 0.4083  1 Si 2.34, 4 Ni 2.37
Si 0.5000 0.2033 0.7033  4 Ni 2.38
Si 0.5000 0.7967 0.2967  4 Ni 2.38
Si 0.5917 0.0000 0.5917  1 Si 2.34, 4 Ni 2.37
Si 0.7497 0.7497 0.0000  2 Si 2.52-2.53, 8 Hf 2.77-2.78
Si 0.7910 0.2090 0.0000  4 Ni 2.36
Si 0.7910 0.7910 0.5820  4 Ni 2.36
Si 0.7967 0.5000 0.2967  4 Ni 2.38
Ni 0.1027 0.6027 0.2054  6 Si 2.36-2.38, 2 Ni 2.52
Ni 0.1027 0.8973 0.5000  6 Si 2.36-2.38, 2 Ni 2.52
Ni 0.3973 0.6027 0.5000  6 Si 2.36-2.38, 2 Ni 2.52
Ni 0.3973 0.8973 0.7946  6 Si 2.36-2.38, 2 Ni 2.52
Ni 0.6027 0.1027 0.2054  6 Si 2.36-2.38, 2 Ni 2.52
Ni 0.6027 0.3973 0.5000  6 Si 2.36-2.38, 2 Ni 2.52
Ni 0.8973 0.1027 0.5000  6 Si 2.36-2.38, 2 Ni 2.52
Ni 0.8973 0.3973 0.7946  6 Si 2.36-2.38, 2 Ni 2.52



Entry 4:
Compound: SbOs2
Source: the Alexandria database
Functional: SCAN
Structure: single point on PBEsol structure

Calculated values
Formation energy (no corrections) in eV/atom: 0.8938
Size of the total moment in μB per formula unit: 0.00

Cell: 8.3010 8.3010 8.3010 Å, 153.68 153.68 37.57°
Closest atoms and distances in Å follow each position.
Sites, in units of the cell vectors:
Sb 0.3750 0.6250 0.7500  8 Os 2.94
Sb 0.6250 0.3750 0.2500  8 Os 2.94
Os 0.0472 0.7972 0.2500  3 Os 2.40-2.45
Os 0.2028 0.9528 0.2500  3 Os 2.40-2.45
Os 0.7972 0.0472 0.7500  3 Os 2.40-2.45
Os 0.9528 0.2028 0.7500  3 Os 2.40-2.45



Entry 5:
Compound: TaNb2Br
Source: the Alexandria database
Functional: SCAN
Structure: single point on PBEsol structure

Calculated values
Formation energy (no corrections) in eV/atom: 0.7526
Size of the total moment in μB per formula unit: 0.00

Cell: 4.6529 4.6529 4.6529 Å, 60.00 60.00 60.00°
Closest atoms and distances in Å follow each position.
Sites, in units of the cell vectors:
Ta 0.0000 0.0000 0.0000  8 Nb 2.85
Nb 0.2500 0.2500 0.2500  4 Br 2.85, 4 Ta 2.85
Nb 0.7500 0.7500 0.7500  4 Br 2.85, 4 Ta 2.85
Br 0.5000 0.5000 0.5000  8 Nb 2.85



Entry 6:
Compound: CaTl3Co
Source: the Alexandria database
Functional: SCAN
Structure: single point on PBEsol structure

Calculated values
Formation energy in kJ/mol of formula units: 499.4
Size of the total moment in μB per formula unit: 2.18

Cell: 5.6927 5.6927 5.6927 Å, 90.00 90.00 90.00°
Closest atoms and distances in Å follow each position.
Sites, in units of the cell vectors:
Ca 0.0000 0.0000 0.0000  6 Tl 2.85
Tl 0.0000 0.0000 0.5000  2 Ca 2.85
Tl 0.0000 0.5000 0.0000  2 Ca 2.85
Tl 0.5000 0.0000 0.0000  2 Ca 2.85
Co 0.5000 0.5000 0.5000  12 Tl 4.03



Entry 7:
Compound: TcIrRh2
Source: the Alexandria database
Functional: SCAN
Structure: single point on PBEsol structure

Calculated values
Formation energy in kJ/mol of formula units: -25.5
Size of the total moment in μB per formula unit: 0.00
Energy above the most stable polymorph in this dataset in meV/atom: 71

Cell: 8.9589 8.9589 8.9589 Å, 17.18 17.18 17.18°
Closest atoms and distances in Å follow each position.
Sites, in units of the cell vectors:
Tc 0.0000 0.0000 0.0000  6 Rh 2.66, 6 Tc 2.68
Ir 0.5000 0.5000 0.5000  6 Ir 2.68, 6 Rh 2.72
Rh 0.2514 0.2514 0.2514  3 Tc 2.66, 6 Rh 2.68, 3 Ir 2.72
Rh 0.7486 0.7486 0.7486  3 Tc 2.66, 6 Rh 2.68, 3 Ir 2.72



Entry 8:
Compound: Ca2TlTc
Source: the Alexandria database
Functional: SCAN
Structure: single point on PBEsol structure

Calculated values
Formation energy in kJ/mol of formula units: 106.3
Size of the total moment in μB per formula unit: 1.27
Energy above the most stable polymorph in this dataset in meV/atom: 0

Cell: 5.4959 5.4959 5.4959 Å, 131.97 131.97 70.28°
Closest atoms and distances in Å follow each position.
Sites, in units of the cell vectors:
Ca 0.2500 0.7500 0.5000  4 Ca 3.16, 4 Tl 3.17, 4 Tc 3.17
Ca 0.7500 0.2500 0.5000  4 Ca 3.16, 4 Tl 3.17, 4 Tc 3.17
Tl 0.0000 0.0000 0.0000  4 Tc 3.16, 8 Ca 3.17
Tc 0.5000 0.5000 0.0000  4 Tl 3.16, 8 Ca 3.17



Entry 9:
Compound: Cr2CdW
Source: the Alexandria database
Functional: SCAN
Structure: single point on PBEsol structure

Calculated values
Formation energy in kJ/mol of formula units: 159.1
Size of the total moment in μB per formula unit: 3.83

Cell: 4.2623 4.2623 3.1471 Å, 90.00 90.00 90.00°
Closest atoms and distances in Å follow each position.
Sites, in units of the cell vectors:
Cr 0.0000 0.5000 0.0000  4 Cd 2.65, 4 W 2.65
Cr 0.5000 0.0000 0.0000  4 Cd 2.65, 4 W 2.65
Cd 0.0000 0.0000 0.5000  8 Cr 2.65
W 0.5000 0.5000 0.5000  8 Cr 2.65



Entry 10:
Compound: ScMo
Source: the Alexandria database
Functional: SCAN
Structure: single point on PBEsol structure

Calculated values
Formation energy in kJ/mol of formula units: 6.0
Size of the total moment in μB per formula unit: 0.00
Energy above the most stable polymorph in this dataset in meV/atom: 34

Cell: 5.5301 5.5301 5.5301 Å, 145.51 128.74 63.26°
Closest atoms and distances in Å follow each position.
Sites, in units of the cell vectors:
Sc 0.3615 0.1115 0.2500  8 Mo 2.93-3.25, 6 Sc 3.08-3.28
Sc 0.6385 0.8885 0.7500  8 Mo 2.93-3.25, 6 Sc 3.08-3.28
Mo 0.0958 0.3458 0.7500  2 Mo 2.44
Mo 0.9042 0.6542 0.2500  2 Mo 2.44



Entry 11:
Compound: InFeTc
Source: the Alexandria database
Functional: SCAN
Structure: single point on PBEsol structure

Calculated values
Formation energy in kJ/mol of formula units: 99.6
Size of the total moment in μB per formula unit: 3.44
Energy above the most stable polymorph in this dataset in meV/atom: 0

Cell: 4.2636 4.2636 2.8589 Å, 90.00 90.00 120.00°
Closest atoms and distances in Å follow each position.
Sites, in units of the cell vectors:
In 0.0000 0.0000 0.0000  6 Fe 2.73-2.98, 6 Tc 2.80-2.89, 2 In 2.86
Fe 0.6667 0.3333 0.4129  3 Tc 2.48, 3 In 2.73
Tc 0.3333 0.6667 0.5308  3 Fe 2.48



Entry 12:
Compound: KCr2Mo
Source: the Alexandria database
Functional: SCAN
Structure: single point on PBEsol structure

Calculated values
Formation energy in kJ/mol of formula units: 353.4
Size of the total moment in μB per formula unit: 0.00
Energy above the most stable polymorph in this dataset in meV/atom: 17

Cell: 3.0223 3.3674 7.8732 Å, 90.00 90.00 90.00°
Closest atoms and distances in Å follow each position.
Sites, in units of the cell vectors:
K 0.0000 0.0000 0.0000  4 K 3.02-3.37
Cr 0.0000 0.0000 0.5287  4 Cr 2.43, 4 Mo 2.57
Cr 0.5000 0.5000 0.6404  1 Mo 2.09
Mo 0.5000 0.5000 0.3749  1 Cr 2.09



Entry 13:
Compound: SrZr2Cd
Source: the Alexandria database
Functional: SCAN
Structure: single point on PBEsol structure

Calculated values
Formation energy in kJ/mol of formula units: 140.3
Size of the total moment in μB per formula unit: 0.86

Cell: 6.3885 6.3885 6.3885 Å, 150.56 126.94 61.85°
Closest atoms and distances in Å follow each position.
Sites, in units of the cell vectors:
Sr 0.0000 0.0000 0.0000  2 Sr 3.25, 2 Cd 3.26, 6 Zr 3.28-3.50
Zr 0.4907 0.4907 0.0000  4 Zr 2.97-3.25, 2 Cd 3.03, 4 Sr 3.28
Zr 0.7176 0.2176 0.5000  4 Zr 2.97-3.25, 4 Cd 3.31
Cd 0.2575 0.7575 0.5000  6 Zr 3.03-3.31, 2 Cd 3.25, 2 Sr 3.26



Entry 14:
Compound: Li2CaInB
Source: the Alexandria database
Functional: SCAN
Structure: single point on PBEsol structure

Calculated values
Formation energy in kJ/mol of formula units: 559.8
Size of the total moment in μB per formula unit: 0.00

Cell: 5.3578 5.3578 4.4928 Å, 90.00 90.00 90.00°
Closest atoms and distances in Å follow each position.
Sites, in units of the cell vectors:
Li 0.0000 0.5000 0.0000  2 Ca 2.68
Li 0.5000 0.0000 0.0000  2 Ca 2.68
Ca 0.0000 0.0000 0.0000  2 B 2.25
In 0.5000 0.5000 0.5000  8 Li 3.50, 4 B 3.79
B 0.0000 0.0000 0.5000  2 Ca 2.25



Entry 15:
Compound: PIrO3
Source: the Alexandria database
Functional: SCAN
Structure: single point on PBEsol structure

Calculated values
Formation energy (no corrections) in eV/atom: 0.1892
Size of the total moment in μB per formula unit: 0.31

Cell: 3.8578 3.8578 3.8578 Å, 90.00 90.00 90.00°
Closest atoms and distances in Å follow each position.
Sites, in units of the cell vectors:
P 0.0000 0.0000 0.0000  12 O 2.73
Ir 0.5000 0.5000 0.5000  6 O 1.93
O 0.0000 0.5000 0.5000  2 Ir 1.93
O 0.5000 0.0000 0.5000  2 Ir 1.93
O 0.5000 0.5000 0.0000  2 Ir 1.93



Entry 16:
Compound: InHg2Cl
Source: the Alexandria database
Functional: SCAN
Structure: single point on PBEsol structure

Calculated values
Formation energy (no corrections) in eV/atom: -0.3355
Size of the total moment in μB per formula unit: 0.00
Energy above the most stable polymorph in this dataset in meV/atom: 57

Cell: 6.0656 6.0656 6.0656 Å, 145.47 126.23 65.49°
Closest atoms and distances in Å follow each position.
Sites, in units of the cell vectors:
In 0.0000 0.0000 0.0000  2 Cl 2.78
Hg 0.4830 0.4830 0.0000  2 Hg 3.21, 4 In 3.29, 4 Cl 3.34-3.57
Hg 0.7436 0.2436 0.5000  2 In 3.18, 2 Hg 3.21, 4 Cl 3.30
Cl 0.2074 0.7074 0.5000  2 In 2.78



Entry 17:
Compound: LiHfW2
Source: the Alexandria database
Functional: SCAN
Structure: single point on PBEsol structure

Calculated values
Formation energy in kJ/mol of formula units: 309.9
Size of the total moment in μB per formula unit: 0.00

Cell: 4.4861 4.4861 4.4861 Å, 60.00 60.00 60.00°
Closest atoms and distances in Å follow each position.
Sites, in units of the cell vectors:
Li 0.0000 0.0000 0.0000  8 W 2.75
Hf 0.5000 0.5000 0.5000  8 W 2.75
W 0.2500 0.2500 0.2500  4 Hf 2.75, 4 Li 2.75
W 0.7500 0.7500 0.7500  4 Hf 2.75, 4 Li 2.75



Entry 18:
Compound: BaCd3Fe
Source: the Alexandria database
Functional: SCAN
Structure: single point on PBEsol structure

Calculated values
Formation energy in kJ/mol of formula units: -13.9
Size of the total moment in μB per formula unit: 1.78

Cell: 5.0630 5.0630 5.0630 Å, 90.00 90.00 90.00°
Closest atoms and distances in Å follow each position.
Sites, in units of the cell vectors:
Ba 0.0000 0.0000 0.0000  12 Cd 3.58
Cd 0.0000 0.5000 0.5000  2 Fe 2.53
Cd 0.5000 0.0000 0.5000  2 Fe 2.53
Cd 0.5000 0.5000 0.0000  2 Fe 2.53
Fe 0.5000 0.5000 0.5000  6 Cd 2.53



Entry 19:
Compound: MnTeAs2Br
Source: the Alexandria database
Functional: SCAN
Structure: single point on PBEsol structure

Calculated values
Formation energy (no corrections) in eV/atom: 0.8039
Size of the total moment in μB per formula unit: 4.57

Cell: 5.2816 5.2816 5.3861 Å, 90.00 90.00 90.00°
Closest atoms and distances in Å follow each position.
Sites, in units of the cell vectors:
Mn 0.0000 0.0000 0.0000  4 Br 3.73, 8 As 3.77
Te 0.5000 0.5000 0.5000  4 As 2.64, 2 Br 2.69
As 0.0000 0.5000 0.5000  2 Te 2.64
As 0.5000 0.0000 0.5000  2 Te 2.64
Br 0.5000 0.5000 0.0000  2 Te 2.69



Entry 20:
Compound: YAs2RhW
Source: the Alexandria database
Functional: SCAN
Structure: single point on PBEsol structure

Calculated values
Formation energy in kJ/mol of formula units: 1036.3
Size of the total moment in μB per formula unit: 0.91

Cell: 5.0467 5.0467 4.8201 Å, 90.00 90.00 90.00°
Closest atoms and distances in Å follow each position.
Sites, in units of the cell vectors:
Y 0.0000 0.0000 0.0000  2 W 2.41, 4 As 2.52
As 0.0000 0.5000 0.0000  2 Y 2.52
As 0.5000 0.0000 0.0000  2 Y 2.52
Rh 0.5000 0.5000 0.5000  8 As 3.49, 4 W 3.57
W 0.0000 0.0000 0.5000  2 Y 2.41